Record 1
Entry from the Alexandria database: crystalline Ti8SbSe2 at its relaxed geometry (GGA-PBE).

```
data_Ti8SbSe2
_chemical_formula_sum 'Ti8 Sb1 Se2'
_cell_length_a 6.755
_cell_length_b 6.755
_cell_length_c 4.837
_cell_angle_alpha 99.76
_cell_angle_beta 99.76
_cell_angle_gamma 113.43
_space_group_name_H-M_alt 'P 1'
_space_group_IT_number 1
loop_
_space_group_symop_operation_xyz
'x,y,z'
loop_
_atom_site_label
_atom_site_fract_x
_atom_site_fract_y
_atom_site_fract_z
Ti1 0.086 0.319 0.601
Ti2 0.246 0.754 0.000
Ti3 0.319 0.086 0.601
Ti4 0.396 0.396 0.170
Ti5 0.604 0.604 0.830
Ti6 0.681 0.914 0.399
Ti7 0.754 0.246 0.000
Ti8 0.914 0.681 0.399
Sb1 0.000 0.000 0.000
Se1 0.311 0.689 0.500
Se2 0.689 0.311 0.500
```

Results
E_tot = -7.189 eV/atom
DOS at the Fermi energy = 1.328 states/eV per atom
Formation energy (no corrections) = -0.439 eV per atom
Calculated density = 5.71 Mg/m³

Record 2
Entry from the Alexandria database: crystalline Ta2BeCd at its relaxed geometry (GGA-PBE).

```
data_Ta2BeCd
_chemical_formula_sum 'Ta2 Be1 Cd1'
_cell_length_a 2.830
_cell_length_b 2.830
_cell_length_c 8.105
_cell_angle_alpha 90.00
_cell_angle_beta 90.00
_cell_angle_gamma 90.00
_space_group_name_H-M_alt 'P 1'
_space_group_IT_number 1
loop_
_space_group_symop_operation_xyz
'x,y,z'
loop_
_atom_site_label
_atom_site_fract_x
_atom_site_fract_y
_atom_site_fract_z
Ta1 0.000 0.000 0.207
Ta2 0.000 0.000 0.793
Be1 0.500 0.500 0.000
Cd1 0.500 0.500 0.500
```

Results
E_tot = -6.973 eV/atom
DOS at the Fermi energy = 0.505 states/eV per atom
Calculated density = 12.37 Mg/m³

Record 3
Entry from the Alexandria database: crystalline Pr4SbIr2 at its relaxed geometry (GGA-PBE).

```
data_Pr4SbIr2
_chemical_formula_sum 'Pr8 Sb2 Ir4'
_cell_length_a 8.353
_cell_length_b 8.353
_cell_length_c 8.353
_cell_angle_alpha 110.55
_cell_angle_beta 110.38
_cell_angle_gamma 107.50
_space_group_name_H-M_alt 'P 1'
_space_group_IT_number 1
loop_
_space_group_symop_operation_xyz
'x,y,z'
loop_
_atom_site_label
_atom_site_fract_x
_atom_site_fract_y
_atom_site_fract_z
Pr1 0.221 0.285 0.564
Pr2 0.221 0.657 0.936
Pr3 0.285 0.221 0.064
Pr4 0.343 0.779 0.564
Pr5 0.657 0.221 0.436
Pr6 0.715 0.779 0.936
Pr7 0.779 0.343 0.064
Pr8 0.779 0.715 0.436
Sb1 0.124 0.874 0.250
Sb2 0.876 0.126 0.750
Ir1 0.000 0.500 0.500
Ir2 0.500 0.000 0.000
Ir3 0.500 0.500 0.000
Ir4 0.500 0.500 0.500
```

Results
E_tot = -6.435 eV/atom
DOS at the Fermi energy = 0.874 states/eV per atom
Formation energy (no corrections) = -0.584 eV per atom
Calculated density = 7.93 Mg/m³